DFT (PBE-GGA) results for a relaxed structure of YCdRh2.

extended XYZ file:
```
4
Lattice="-1.806 -1.201 -2.921 2.199 -2.894 -0.169 -3.601 -2.936 3.434" Properties=species:S:1:pos:R:3 pbc="T T T"
Cd -2.644 -4.364 1.164
Rh -0.754 -2.823 -0.638
Rh -3.542 -2.888 3.378
Y -1.668 -1.360 1.591
```

Total moment, μB per atom: 0.00
ΔE_f, meV/atom: -263
Calculated volume, Å³/cell: 76.5
Space-group type: P4mm